Computed, not measured: a relaxed structure of CdSb3 at the PBE level of DFT.

a = 8.416 Å, b = 7.263 Å, c = 7.599 Å
α = 90.00°, β = 90.00°, γ = 90.00°
Fractional coordinates of all 16 atoms:
Cd (0.621, 0.904, 0.750)
Cd (0.879, 0.404, 0.750)
Cd (0.379, 0.096, 0.250)
Cd (0.121, 0.596, 0.250)
Sb (0.623, 0.248, 0.990)
Sb (0.129, 0.927, 0.750)
Sb (0.371, 0.427, 0.750)
Sb (0.123, 0.252, 0.010)
Sb (0.877, 0.748, 0.990)
Sb (0.623, 0.248, 0.510)
Sb (0.877, 0.748, 0.510)
Sb (0.123, 0.252, 0.490)
Sb (0.629, 0.573, 0.250)
Sb (0.871, 0.073, 0.250)
Sb (0.377, 0.752, 0.490)
Sb (0.377, 0.752, 0.010)

Values from the calculation:
formation energy without anion corrections: 0.1148 eV/atom
space group: No. 62
energy above the most stable polymorph in this dataset: 0.24 eV/f.u.

***

Computed, not measured: a relaxed structure of CdSb3 at the PBE level of DFT.

a = 6.184 Å, b = 6.184 Å, c = 6.184 Å
α = 116.87°, β = 116.87°, γ = 116.87°
Fractional coordinates of all 4 atoms:
Sb (0.500, 0.000, 0.500)
Sb (0.500, 0.500, 0.000)
Sb (0.000, 0.500, 0.500)
Cd (0.000, 0.000, 0.000)

Values from the calculation:
formation energy without anion corrections: 0.1987 eV/atom
space group: No. 166
energy above the most stable polymorph in this dataset: 0.57 eV/f.u.

***

Computed, not measured: a relaxed structure of Cd3Sb at the PBE level of DFT.

a = 6.408 Å, b = 6.408 Å, c = 11.034 Å
α = 90.00°, β = 90.00°, γ = 120.00°
Fractional coordinates of all 16 atoms:
Cd (0.500, 0.000, 0.000)
Cd (0.000, 0.500, 0.000)
Cd (0.500, 0.500, 0.500)
Cd (0.169, 0.831, 0.750)
Cd (0.169, 0.337, 0.750)
Cd (0.500, 0.000, 0.500)
Cd (0.500, 0.500, 0.000)
Cd (0.663, 0.831, 0.750)
Cd (0.831, 0.663, 0.250)
Cd (0.831, 0.169, 0.250)
Cd (0.000, 0.500, 0.500)
Cd (0.337, 0.169, 0.250)
Sb (0.333, 0.667, 0.250)
Sb (0.667, 0.333, 0.750)
Sb (0.000, 0.000, 0.500)
Sb (0.000, 0.000, 0.000)

Values from the calculation:
formation energy without anion corrections: 0.0814 eV/atom
space group: No. 194
energy above the most stable polymorph in this dataset: 0.14 eV/f.u.

***

Computed, not measured: a relaxed structure of Cd3Sb at the PBE level of DFT.

a = 6.732 Å, b = 6.732 Å, c = 6.732 Å
α = 154.34°, β = 129.98°, γ = 57.05°
Fractional coordinates of all 4 atoms:
Cd (0.750, 0.250, 0.500)
Cd (0.503, 0.503, 0.000)
Cd (0.997, 0.997, 0.000)
Sb (0.250, 0.750, 0.500)

Values from the calculation:
formation energy without anion corrections: 0.0906 eV/atom
space group: No. 71
energy above the most stable polymorph in this dataset: 0.17 eV/f.u.